Here is a relaxed Tb3Pr2Dy6Y crystal from the Alexandria database. Energies are from PBE.

Geometry as POSCAR:
```
Tb3Pr2Dy6Y
1.0
3.100 -5.367 0.000
3.100 5.367 0.000
-2.058 0.000 11.673
Tb Pr Dy Y
3 2 6 1
direct
0.000 0.000 0.000 Tb
0.334 0.666 0.000 Tb
0.666 0.334 0.000 Tb
0.167 0.833 0.500 Pr
0.833 0.167 0.500 Pr
0.082 0.415 0.247 Dy
0.252 0.252 0.753 Dy
0.415 0.082 0.247 Dy
0.585 0.918 0.753 Dy
0.748 0.748 0.247 Dy
0.918 0.585 0.753 Dy
0.500 0.500 0.500 Y
```

Calculated values
DFT formation energy: 16 meV per atom

=====

Here is a relaxed Tb2Pr2Dy4Y crystal from the Alexandria database. Energies are from PBE.

Geometry as POSCAR:
```
Tb2Pr2Dy4Y
1.0
9.394 -1.811 0.000
9.394 1.811 0.000
-4.175 0.000 8.669
Tb Pr Dy Y
2 2 4 1
direct
0.147 0.147 0.162 Tb
0.853 0.853 0.838 Tb
0.334 0.334 0.501 Pr
0.666 0.666 0.499 Pr
0.186 0.186 0.836 Dy
0.481 0.481 0.164 Dy
0.519 0.519 0.836 Dy
0.814 0.814 0.164 Dy
0.000 0.000 0.500 Y
```

Calculated values
DFT formation energy: 0 meV per atom

=====

Here is a relaxed Tb2PrDy2Y2 crystal from the Alexandria database. Energies are from PBE.

Geometry as POSCAR:
```
Tb2PrDy2Y2
1.0
2.850 1.645 8.186
-2.850 1.645 8.186
0.000 -3.291 8.186
Tb Pr Dy Y
2 1 2 2
direct
0.221 0.221 0.221 Tb
0.779 0.779 0.779 Tb
0.500 0.500 0.500 Pr
0.074 0.074 0.074 Dy
0.926 0.926 0.926 Dy
0.360 0.360 0.360 Y
0.640 0.640 0.640 Y
```

Calculated values
DFT formation energy: 136 meV per atom

=====

Here is a relaxed TbPrDy6Y2 crystal from the Alexandria database. Energies are from PBE.

Geometry as POSCAR:
```
TbPrDy6Y2
1.0
4.663 -7.503 0.000
4.663 7.503 0.000
-0.775 0.000 9.330
Tb Pr Dy Y
2 2 12 4
direct
0.088 0.912 0.750 Tb
0.912 0.088 0.250 Tb
0.462 0.538 0.250 Pr
0.538 0.462 0.750 Pr
0.025 0.791 0.388 Dy
0.055 0.508 0.182 Dy
0.209 0.975 0.112 Dy
0.260 0.616 0.559 Dy
0.384 0.740 0.941 Dy
0.492 0.945 0.318 Dy
0.508 0.055 0.682 Dy
0.616 0.260 0.059 Dy
0.740 0.384 0.441 Dy
0.791 0.025 0.888 Dy
0.945 0.492 0.818 Dy
0.975 0.209 0.612 Dy
0.197 0.297 0.947 Y
0.297 0.197 0.447 Y
0.703 0.803 0.553 Y
0.803 0.703 0.053 Y
```

Calculated values
DFT formation energy: 124 meV per atom

=====

Here is a relaxed TbPrDyZn crystal from the Alexandria database. Energies are from PBE.

Geometry as POSCAR:
```
TbPrDyZn
1.0
3.607 0.000 0.000
0.000 3.607 0.000
0.000 0.000 8.741
Tb Pr Dy Zn
1 1 1 1
direct
0.000 0.000 0.000 Tb
0.500 0.500 0.299 Pr
0.000 0.000 0.597 Dy
0.500 0.500 0.797 Zn
```

Calculated values
Offset from the most stable computed form: 0.000 eV per atom
DFT formation energy: -162 meV per atom

=====

Here is a relaxed TbPrDyZn crystal from the Alexandria database. Energies are from PBE.

Geometry as POSCAR:
```
TbPrDyZn
1.0
7.657 0.000 0.000
0.000 7.657 0.000
0.000 0.000 7.657
Tb Pr Dy Zn
4 4 4 4
direct
0.000 0.000 0.000 Tb
0.000 0.500 0.500 Tb
0.500 0.000 0.500 Tb
0.500 0.500 0.000 Tb
0.000 0.000 0.500 Pr
0.000 0.500 0.000 Pr
0.500 0.000 0.000 Pr
0.500 0.500 0.500 Pr
0.250 0.250 0.250 Dy
0.250 0.750 0.750 Dy
0.750 0.250 0.750 Dy
0.750 0.750 0.250 Dy
0.250 0.250 0.750 Zn
0.250 0.750 0.250 Zn
0.750 0.250 0.250 Zn
0.750 0.750 0.750 Zn
```

Calculated values
Offset from the most stable computed form: 0.208 eV per atom
DFT formation energy: 46 meV per atom

=====

Here is a relaxed Tb3Pr3DyZn2 crystal from the Alexandria database. Energies are from PBE.

Geometry as POSCAR:
```
Tb3Pr3DyZn2
1.0
9.221 0.000 0.000
-4.610 7.985 0.000
0.000 0.000 3.628
Tb Pr Dy Zn
3 3 1 2
direct
0.000 0.374 0.000 Tb
0.374 0.000 0.000 Tb
0.626 0.626 0.000 Tb
0.000 0.686 0.500 Pr
0.314 0.314 0.500 Pr
0.686 0.000 0.500 Pr
0.000 0.000 0.000 Dy
0.333 0.667 0.500 Zn
0.667 0.333 0.500 Zn
```

Calculated values
DFT formation energy: -1 meV per atom

=====

Here is a relaxed Tb2Pr3Dy6Zr crystal from the Alexandria database. Energies are from PBE.

Geometry as POSCAR:
```
Tb2Pr3Dy6Zr
1.0
3.083 -5.334 0.000
3.083 5.334 0.000
-2.046 0.000 11.562
Tb Pr Dy Zr
2 3 6 1
direct
0.167 0.833 0.000 Tb
0.833 0.167 0.000 Tb
0.000 0.000 0.500 Pr
0.334 0.666 0.500 Pr
0.666 0.334 0.500 Pr
0.094 0.420 0.759 Dy
0.254 0.254 0.241 Dy
0.420 0.094 0.759 Dy
0.580 0.906 0.241 Dy
0.746 0.746 0.759 Dy
0.906 0.580 0.241 Dy
0.500 0.500 0.000 Zr
```

Calculated values
DFT formation energy: 48 meV per atom

=====

Here is a relaxed TbPrDyZr crystal from the Alexandria database. Energies are from PBE.

Geometry as POSCAR:
```
TbPrDyZr
1.0
7.847 0.000 0.000
0.000 7.847 0.000
0.000 0.000 7.847
Tb Pr Dy Zr
4 4 4 4
direct
0.000 0.000 0.000 Tb
0.000 0.500 0.500 Tb
0.500 0.000 0.500 Tb
0.500 0.500 0.000 Tb
0.250 0.250 0.750 Pr
0.250 0.750 0.250 Pr
0.750 0.250 0.250 Pr
0.750 0.750 0.750 Pr
0.000 0.000 0.500 Dy
0.000 0.500 0.000 Dy
0.500 0.000 0.000 Dy
0.500 0.500 0.500 Dy
0.250 0.250 0.250 Zr
0.250 0.750 0.750 Zr
0.750 0.250 0.750 Zr
0.750 0.750 0.250 Zr
```

Calculated values
DFT formation energy: 237 meV per atom

=====

Here is a relaxed Tb3Pr2Dy6Zr crystal from the Alexandria database. Energies are from PBE.

Geometry as POSCAR:
```
Tb3Pr2Dy6Zr
1.0
3.070 -5.311 0.000
3.070 5.311 0.000
-2.034 0.000 11.544
Tb Pr Dy Zr
3 2 6 1
direct
0.000 0.000 0.000 Tb
0.334 0.666 0.000 Tb
0.666 0.334 0.000 Tb
0.167 0.833 0.500 Pr
0.833 0.167 0.500 Pr
0.091 0.417 0.252 Dy
0.257 0.257 0.748 Dy
0.417 0.091 0.252 Dy
0.583 0.909 0.748 Dy
0.743 0.743 0.252 Dy
0.909 0.583 0.748 Dy
0.500 0.500 0.500 Zr
```

Calculated values
DFT formation energy: 54 meV per atom

=====

Here is a relaxed Tb6Pr2Dy3Zr crystal from the Alexandria database. Energies are from PBE.

Geometry as POSCAR:
```
Tb6Pr2Dy3Zr
1.0
3.074 -5.316 0.000
3.074 5.316 0.000
-2.034 0.000 11.569
Tb Pr Dy Zr
6 2 3 1
direct
0.083 0.409 0.748 Tb
0.243 0.243 0.252 Tb
0.409 0.083 0.748 Tb
0.591 0.917 0.252 Tb
0.757 0.757 0.748 Tb
0.917 0.591 0.252 Tb
0.333 0.667 0.500 Pr
0.667 0.333 0.500 Pr
0.166 0.834 0.000 Dy
0.500 0.500 0.000 Dy
0.834 0.166 0.000 Dy
0.000 0.000 0.500 Zr
```

Calculated values
DFT formation energy: 55 meV per atom

=====

Here is a relaxed PrDyTc crystal from the Alexandria database. Energies are from PBE.

Geometry as POSCAR:
```
PrDyTc
1.0
3.513 0.000 0.000
0.000 3.513 0.000
0.000 0.000 12.963
Pr Dy Tc
2 2 2
direct
0.000 0.000 0.000 Pr
0.500 0.500 0.500 Pr
0.000 0.000 0.743 Dy
0.500 0.500 0.243 Dy
0.000 0.000 0.365 Tc
0.500 0.500 0.865 Tc
```

Calculated values
Offset from the most stable computed form: 0.000 eV per atom
DFT formation energy: 61 meV per atom

=====

Here is a relaxed Pr2DyTc crystal from the Alexandria database. Energies are from PBE.

Geometry as POSCAR:
```
Pr2DyTc
1.0
4.961 0.000 0.000
-2.481 4.296 0.000
0.000 0.000 15.246
Pr Dy Tc
6 3 3
direct
0.000 0.000 0.233 Pr
0.000 0.000 0.767 Pr
0.333 0.667 0.433 Pr
0.333 0.667 0.900 Pr
0.667 0.333 0.100 Pr
0.667 0.333 0.567 Pr
0.000 0.000 0.000 Dy
0.333 0.667 0.667 Dy
0.667 0.333 0.333 Dy
0.000 0.000 0.500 Tc
0.333 0.667 0.167 Tc
0.667 0.333 0.833 Tc
```

Calculated values
DFT formation energy: 305 meV per atom

=====

Here is a relaxed Pr2Dy8Tc crystal from the Alexandria database. Energies are from PBE.

Geometry as POSCAR:
```
Pr2Dy8Tc
1.0
9.109 -2.746 0.000
9.109 2.746 0.000
-0.538 0.000 6.745
Pr Dy Tc
2 8 1
direct
0.223 0.223 0.164 Pr
0.777 0.777 0.836 Pr
0.031 0.031 0.268 Dy
0.162 0.162 0.661 Dy
0.359 0.359 0.614 Dy
0.418 0.418 0.122 Dy
0.582 0.582 0.878 Dy
0.641 0.641 0.386 Dy
0.838 0.838 0.339 Dy
0.969 0.969 0.732 Dy
0.500 0.500 0.500 Tc
```

Calculated values
DFT formation energy: 26 meV per atom

=====

Here is a relaxed PrDyTc crystal from the Alexandria database. Energies are from PBE.

Geometry as POSCAR:
```
PrDyTc
1.0
3.516 -6.253 0.000
3.516 6.253 0.000
0.000 0.000 7.664
Pr Dy Tc
4 4 4
direct
0.197 0.803 0.887 Pr
0.303 0.697 0.387 Pr
0.697 0.303 0.613 Pr
0.803 0.197 0.113 Pr
0.209 0.291 0.750 Dy
0.291 0.209 0.250 Dy
0.709 0.791 0.750 Dy
0.791 0.709 0.250 Dy
0.096 0.904 0.536 Tc
0.404 0.596 0.036 Tc
0.596 0.404 0.964 Tc
0.904 0.096 0.464 Tc
```

Calculated values
Offset from the most stable computed form: 0.027 eV per atom
DFT formation energy: 88 meV per atom

=====

Here is a relaxed PrDy2Te crystal from the Alexandria database. Energies are from PBE.

Geometry as POSCAR:
```
PrDy2Te
1.0
3.910 0.000 0.000
-1.955 3.386 0.000
0.000 0.000 29.876
Pr Dy Te
3 6 3
direct
0.000 0.000 0.000 Pr
0.333 0.667 0.667 Pr
0.667 0.333 0.333 Pr
0.000 0.000 0.236 Dy
0.000 0.000 0.430 Dy
0.333 0.667 0.096 Dy
0.333 0.667 0.903 Dy
0.667 0.333 0.570 Dy
0.667 0.333 0.763 Dy
0.000 0.000 0.833 Te
0.333 0.667 0.500 Te
0.667 0.333 0.166 Te
```

Calculated values
Raw formation energy: -536 meV per atom
Offset from the most stable computed form: 0.129 eV per atom

=====

Here is a relaxed PrDyTe crystal from the Alexandria database. Energies are from PBE.

Geometry as POSCAR:
```
PrDyTe
1.0
8.462 -2.030 0.000
8.462 2.030 0.000
-0.604 0.000 11.277
Pr Dy Te
4 4 4
direct
0.026 0.026 0.352 Pr
0.386 0.386 0.158 Pr
0.614 0.614 0.842 Pr
0.974 0.974 0.648 Pr
0.193 0.193 0.082 Dy
0.251 0.251 0.662 Dy
0.749 0.749 0.338 Dy
0.807 0.807 0.918 Dy
0.379 0.379 0.456 Te
0.425 0.425 0.844 Te
0.575 0.575 0.156 Te
0.621 0.621 0.544 Te
```

Calculated values
Raw formation energy: -772 meV per atom
Offset from the most stable computed form: 0.034 eV per atom

=====

Here is a relaxed PrDyTe crystal from the Alexandria database. Energies are from PBE.

Geometry as POSCAR:
```
PrDyTe
1.0
5.230 0.000 0.000
-2.615 4.529 0.000
0.000 0.000 4.083
Pr Dy Te
1 1 1
direct
0.000 0.000 0.000 Pr
0.333 0.667 0.510 Dy
0.667 0.333 0.649 Te
```

Calculated values
Raw formation energy: -510 meV per atom
Offset from the most stable computed form: 0.296 eV per atom

=====

Here is a relaxed PrDy3Te4 crystal from the Alexandria database. Energies are from PBE.

Geometry as POSCAR:
```
PrDy3Te4
1.0
8.940 0.000 0.000
0.000 12.447 0.000
0.000 0.000 4.327
Pr Dy Te
2 6 8
direct
0.000 0.000 0.000 Pr
0.500 0.500 0.000 Pr
0.000 0.500 0.000 Dy
0.250 0.250 0.500 Dy
0.250 0.750 0.500 Dy
0.500 0.000 0.000 Dy
0.750 0.250 0.500 Dy
0.750 0.750 0.500 Dy
0.000 0.255 0.000 Te
0.000 0.745 0.000 Te
0.240 0.500 0.500 Te
0.260 0.000 0.500 Te
0.500 0.245 0.000 Te
0.500 0.755 0.000 Te
0.740 0.000 0.500 Te
0.760 0.500 0.500 Te
```

Calculated values
Raw formation energy: -1315 meV per atom

=====

Here is a relaxed Pr4DyTe7 crystal from the Alexandria database. Energies are from PBE.

Geometry as POSCAR:
```
Pr4DyTe7
1.0
7.371 -2.186 0.000
7.371 2.186 0.000
-3.412 0.000 13.052
Pr Dy Te
4 1 7
direct
0.000 0.000 0.000 Pr
0.187 0.187 0.765 Pr
0.586 0.586 0.381 Pr
0.886 0.886 0.570 Pr
0.771 0.771 0.149 Dy
0.152 0.152 0.223 Te
0.223 0.223 0.524 Te
0.381 0.381 0.076 Te
0.548 0.548 0.622 Te
0.631 0.631 0.928 Te
0.850 0.850 0.789 Te
0.921 0.921 0.350 Te
```

Calculated values
Raw formation energy: -1435 meV per atom